This record from the Alexandria database describes crystalline ReTcRu2 at its relaxed geometry. The functional is PBE.

Cell: 9.0546 2.7262 4.7288 Å, 90.00 99.97 90.00°
With the nearest neighbours (Å) after each atom.
Space group Cm (No. 8)
Symmetry-distinct sites (fractional):
Re1 0.0000 0.0000 0.0000 [2 per cell]  7 Ru 2.68-2.73, 2 Re 2.73, 3 Tc 2.74-2.78
Tc1 0.2543 0.5000 0.2675 [2 per cell]  7 Ru 2.69-2.73, 2 Tc 2.73, 3 Re 2.74-2.78
Ru1 0.0013 0.5000 0.5008 [2 per cell]  3 Tc 2.69-2.71, 5 Ru 2.73-2.77, 4 Re 2.73
Ru2 0.2541 0.0000 0.7672 [2 per cell]  3 Re 2.68-2.72, 5 Ru 2.73-2.77, 4 Tc 2.73

Properties
Offset from the most stable computed form = 0.128 eV/atom

This record from the Alexandria database describes crystalline Re2TcRu at its relaxed geometry. The functional is PBE.

Cell: 3.2471 3.2471 5.6511 Å, 90.00 90.00 90.00°
With the nearest neighbours (Å) after each atom.
Space group P4/mmm (No. 123)
Symmetry-distinct sites (fractional):
Re1 0.0000 0.0000 0.2393 [2 per cell]  4 Ru 2.66, 2 Re 2.70-2.95, 4 Tc 2.73
Tc1 0.5000 0.5000 0.5000 [1 per cell]  8 Re 2.73, 2 Ru 2.83
Ru1 0.5000 0.5000 0.0000 [1 per cell]  8 Re 2.66, 2 Tc 2.83

Properties
Offset from the most stable computed form = 0.328 eV/atom

This record from the Alexandria database describes crystalline Re3Tc4Ru2 at its relaxed geometry. The functional is PBE.

Cell: 11.1369 10.3473 4.7391 Å, 90.00 97.23 90.00°
With the nearest neighbours (Å) after each atom.
Space group C2/c (No. 15)
Symmetry-distinct sites (fractional):
Re1 0.0000 0.0504 0.2500 [4 per cell]  2 Re 2.59, 2 Ru 2.61, 4 Tc 2.68-2.77
Re2 0.1015 0.4378 0.5598 [8 per cell]  2 Ru 2.53-2.64, 2 Tc 2.56-2.75, 3 Re 2.60-2.70
Tc1 0.0779 0.2833 0.0467 [8 per cell]  3 Re 2.56-2.85, 1 Ru 2.64, 3 Tc 2.72-2.84
Tc2 0.1691 0.1819 0.5881 [8 per cell]  2 Tc 2.51-2.72, 3 Ru 2.56-2.78, 2 Re 2.68-2.75
Ru1 0.2122 0.0725 0.0745 [8 per cell]  3 Re 2.53-2.64, 4 Tc 2.56-2.78, 2 Ru 2.80

Properties
Offset from the most stable computed form = 0.000 eV/atom

This record from the Alexandria database describes crystalline ReTcRu2 at its relaxed geometry. The functional is PBE.

Cell: 9.0724 2.7240 4.7187 Å, 90.00 99.90 90.00°
With the nearest neighbours (Å) after each atom.
Space group C2/m (No. 12)
Symmetry-distinct sites (fractional):
Re1 0.0000 0.0000 0.0000 [2 per cell]  2 Re 2.72, 4 Tc 2.72, 6 Ru 2.73
Tc1 0.0000 0.5000 0.5000 [2 per cell]  2 Tc 2.72, 4 Re 2.72, 6 Ru 2.73-2.74
Ru1 0.2493 0.5000 0.2491 [4 per cell]  6 Ru 2.72-2.73, 3 Re 2.73, 3 Tc 2.73-2.74

Properties
Offset from the most stable computed form = 0.125 eV/atom

This record from the Alexandria database describes crystalline Re2Tc4Ru3 at its relaxed geometry. The functional is PBE.

Cell: 4.7875 7.0242 8.4942 Å, 108.26 106.19 90.05°
With the nearest neighbours (Å) after each atom.
Space group P-1 (No. 2)
Symmetry-distinct sites (fractional):
Re1 0.0012 0.4096 0.3283 [2 per cell]  5 Tc 2.65-2.80, 5 Ru 2.67-2.77, 2 Re 2.70-2.80
Re2 0.2216 0.1319 0.1065 [2 per cell]  2 Re 2.64-2.70, 5 Ru 2.68-2.78, 5 Tc 2.70-2.79
Tc1 0.1124 0.2000 0.5593 [2 per cell]  5 Tc 2.65-2.78, 5 Ru 2.68-2.77, 2 Re 2.72-2.74
Tc2 0.3321 0.9222 0.3378 [2 per cell]  6 Tc 2.65-2.78, 5 Ru 2.68-2.76, 1 Re 2.75
Tc3 0.3338 0.7428 0.9964 [2 per cell]  4 Re 2.65-2.79, 5 Ru 2.67-2.78, 3 Tc 2.71-2.78
Tc4 0.4442 0.5352 0.2262 [2 per cell]  4 Tc 2.65-2.72, 5 Ru 2.67-2.78, 3 Re 2.74-2.80
Ru1 0.1084 0.3595 0.8891 [2 per cell]  8 Tc 2.67-2.78, 2 Ru 2.69-2.70, 2 Re 2.75-2.77
Ru2 0.2230 0.9730 0.7759 [2 per cell]  4 Re 2.67-2.78, 2 Ru 2.69-2.70, 6 Tc 2.73-2.78
Ru3 0.4428 0.6930 0.5554 [2 per cell]  6 Tc 2.67-2.77, 2 Ru 2.69-2.70, 4 Re 2.73-2.76

This record from the Alexandria database describes crystalline Re2TcRu at its relaxed geometry. The functional is PBE.

Cell: 6.1914 6.1914 6.1914 Å, 90.00 90.00 90.00°
With the nearest neighbours (Å) after each atom.
Space group Fm-3m (No. 225)
Symmetry-distinct sites (fractional):
Re1 0.2500 0.2500 0.2500 [8 per cell]  4 Tc 2.68, 4 Ru 2.68
Tc1 0.0000 0.0000 0.0000 [4 per cell]  8 Re 2.68
Ru1 0.0000 0.0000 0.5000 [4 per cell]  8 Re 2.68

Properties
Offset from the most stable computed form = 0.386 eV/atom

This record from the Alexandria database describes crystalline Re4TcRu at its relaxed geometry. The functional is PBE.

Cell: 6.9903 7.5190 6.9896 Å, 90.00 103.18 90.00°
With the nearest neighbours (Å) after each atom.
Space group C2/c (No. 15)
Symmetry-distinct sites (fractional):
Re1 0.1257 0.2492 0.1248 [8 per cell]  8 Re 2.73-2.87, 3 Ru 2.85-2.86, 3 Tc 2.85-2.86
Re2 0.2489 0.0830 0.4989 [8 per cell]  2 Ru 2.50-2.74, 1 Re 2.51, 2 Tc 2.51-2.74
Tc1 0.0000 0.4170 0.7500 [4 per cell]  1 Ru 2.50, 4 Re 2.51-2.74
Ru1 0.0000 0.0850 0.7500 [4 per cell]  1 Tc 2.50, 4 Re 2.50-2.74

Properties
Offset from the most stable computed form = 0.000 eV/atom

This record from the Alexandria database describes crystalline Re3Tc4Ru at its relaxed geometry. The functional is PBE.

Cell: 4.9636 5.4344 8.9191 Å, 90.00 90.00 90.00°
With the nearest neighbours (Å) after each atom.
Space group I222 (No. 23)
Symmetry-distinct sites (fractional):
Re1 0.0000 0.0000 0.0000 [2 per cell]  4 Tc 2.60, 2 Ru 2.72, 4 Re 2.88
Re2 0.0000 0.2319 0.5000 [4 per cell]  1 Re 2.52, 4 Tc 2.57-2.65, 2 Ru 2.78
Tc1 0.2457 0.1509 0.2410 [8 per cell]  3 Re 2.57-2.65, 4 Tc 2.71-2.72, 1 Ru 2.76
Ru1 0.0000 0.5000 0.0000 [2 per cell]  6 Re 2.72-2.78, 4 Tc 2.76

Let's list M_tot in order: 0.00 0.75 0.00 0.00 0.00 0.09 0.00 0.00 μB/f.u..
Let's list energy of formation in order: 0.05 0.36 0.16 0.05 -0.05 0.42 0.12 0.24 eV per atom.
Let's list volume in order: 14.37 14.90 15.05 14.36 14.40 14.83 14.90 15.04 Å³/atom.